Entry 1:
PBE HfZrAs, relaxed; theoretical density = 8427 kg/m3; space-group type = No. 84; raw total energy = -8.17 eV per atom; crystal system = tetragonal; M_tot = 0.00 μB per formula unit; energy of formation = -0.451 eV/atom
1.0
8.506 0.000 0.000
0.000 8.506 0.000
0.000 0.000 3.755
Hf Zr As
4 4 4
Direct
0.135 0.855 0.000 Hf
0.145 0.135 0.500 Hf
0.855 0.865 0.500 Hf
0.865 0.145 0.000 Hf
0.181 0.418 0.000 Zr
0.418 0.819 0.500 Zr
0.582 0.181 0.500 Zr
0.819 0.582 0.000 Zr
0.106 0.638 0.500 As
0.362 0.106 0.000 As
0.638 0.894 0.000 As
0.894 0.362 0.500 As



Entry 2:
PBE TlTe2Au, relaxed; theoretical density = 7312 kg/m3; space-group type = No. 8; raw total energy = -3.16 eV per atom; crystal system = monoclinic; M_tot = 0.00 μB per formula unit
1.0
6.339 -2.073 0.000
6.339 2.073 0.000
-0.062 0.000 5.672
Tl Te Au
1 2 1
Direct
0.000 0.000 0.000 Tl
0.157 0.157 0.504 Te
0.433 0.433 0.498 Te
0.794 0.794 0.500 Au



Copy entry 1 word for word.
PBE HfZrAs, relaxed; theoretical density = 8427 kg/m3; space-group type = No. 84; raw total energy = -8.17 eV per atom; crystal system = tetragonal; M_tot = 0.00 μB per formula unit; energy of formation = -0.451 eV/atom
1.0
8.506 0.000 0.000
0.000 8.506 0.000
0.000 0.000 3.755
Hf Zr As
4 4 4
Direct
0.135 0.855 0.000 Hf
0.145 0.135 0.500 Hf
0.855 0.865 0.500 Hf
0.865 0.145 0.000 Hf
0.181 0.418 0.000 Zr
0.418 0.819 0.500 Zr
0.582 0.181 0.500 Zr
0.819 0.582 0.000 Zr
0.106 0.638 0.500 As
0.362 0.106 0.000 As
0.638 0.894 0.000 As
0.894 0.362 0.500 As



Among the records above, which one has the lowest theoretical density? TlTe2Au



Look up the theoretical density of the second one. 7312 kg/m3



What is the raw total energy in the second record? -3.16 eV per atom